[1]
# K3U2AgO9 GGA-PBE optimized geometry
# - Crystal system: trigonal
# - Fermi-level density of states: 0.19 states/eV/atom
# - Uncorrected formation energy: -51.62 kcal/mol of atoms
# - VASP energy: -7.128 eV per atom
# - Size of the total moment: 2.049 μB per cell
data_K3U2AgO9
_space_group_name_H-M_alt 'P -3 m 1'
_space_group_IT_number 164
_space_group_name_Hall '-P 3 2"'
_cell_length_a 6.0409
_cell_length_b 6.0409
_cell_length_c 7.4242
_cell_angle_alpha 90.00
_cell_angle_beta 90.00
_cell_angle_gamma 120.00
loop_
_atom_site_label
_atom_site_type_symbol
_atom_site_fract_x
_atom_site_fract_y
_atom_site_fract_z
_atom_site_occupancy
K1 K 0.0000 0.0000 0.0000 1
K2 K 0.3333 0.6667 0.6553 1
U1 U 0.3333 0.6667 0.1712 1
Ag1 Ag 0.0000 0.0000 0.5000 1
O1 O 0.0000 0.5000 0.0000 1
O2 O 0.1732 0.3464 0.3216 1

---

[2]
# Ce5PuRh4 GGA-PBE optimized geometry
# - Crystal system: orthorhombic
# - Fermi-level density of states: 2.92 states/eV/atom
# - Energy of formation from the pure elements: -0.364 eV/atom
# - VASP energy: -7.705 eV per atom
# - Size of the total moment: 18.691 μB per cell
data_Ce5PuRh4
_space_group_name_H-M_alt 'P m m n'
_space_group_IT_number 59
_cell_length_a 7.7743
_cell_length_b 9.6438
_cell_length_c 6.9439
_cell_angle_alpha 90.00
_cell_angle_beta 90.00
_cell_angle_gamma 90.00
loop_
_space_group_symop_operation_xyz
'x,y,z'
'-x,-y,-z'
'-x+1/2,-y+1/2,z'
'x+1/2,y+1/2,-z'
'x+1/2,-y,-z'
'-x+1/2,y,z'
'-x,y+1/2,-z'
'x,-y+1/2,z'
loop_
_atom_site_label
_atom_site_type_symbol
_atom_site_fract_x
_atom_site_fract_y
_atom_site_fract_z
_atom_site_occupancy
Ce1 Ce 0.0135 0.0535 0.2214 1
Ce2 Ce 0.2500 0.2500 0.7717 1
Pu1 Pu 0.2500 0.7500 0.4101 1
Rh1 Rh 0.0770 0.7500 0.0439 1
Rh2 Rh 0.2500 0.0251 0.5213 1

---

[3]
# Li2PbW GGA-PBE optimized geometry
# - Crystal system: tetragonal
# - Fermi-level density of states: 0.75 states/eV/atom
# - Energy of formation from the pure elements: 0.630 eV/atom
# - VASP energy: -4.493 eV per atom
# - Size of the total moment: 3.149 μB per cell
data_Li2PbW
_space_group_name_H-M_alt 'I -4 m 2'
_space_group_IT_number 119
_space_group_name_Hall 'I -4 -2'
_cell_length_a 4.0970
_cell_length_b 4.0970
_cell_length_c 8.2905
_cell_angle_alpha 90.00
_cell_angle_beta 90.00
_cell_angle_gamma 90.00
loop_
_atom_site_label
_atom_site_type_symbol
_atom_site_fract_x
_atom_site_fract_y
_atom_site_fract_z
_atom_site_occupancy
Li1 Li 0.0000 0.0000 0.0000 1
Li2 Li 0.0000 0.5000 0.2500 1
Pb1 Pb 0.0000 0.5000 0.7500 1
W1 W 0.0000 0.0000 0.5000 1

---

[4]
# Tb2IrRh3 GGA-PBE optimized geometry
# - Crystal system: hexagonal
# - Fermi-level density of states: 0.39 states/eV/atom
# - Energy of formation from the pure elements: -0.739 eV/atom
# - VASP energy: -7.435 eV per atom
# - Size of the total moment: 0.000 μB per cell
data_Tb2IrRh3
_space_group_name_H-M_alt 'P 63/m m c'
_space_group_IT_number 194
_space_group_name_Hall '-P 6c 2c'
_cell_length_a 5.3475
_cell_length_b 5.3475
_cell_length_c 8.7428
_cell_angle_alpha 90.00
_cell_angle_beta 90.00
_cell_angle_gamma 120.00
loop_
_atom_site_label
_atom_site_type_symbol
_atom_site_fract_x
_atom_site_fract_y
_atom_site_fract_z
_atom_site_occupancy
Tb1 Tb 0.3333 0.6667 0.0660 1
Ir1 Ir 0.0000 0.0000 0.0000 1
Rh1 Rh 0.1686 0.3373 0.7500 1

---

[5]
# GeBi3Te GGA-PBE optimized geometry
# - Crystal system: cubic
# - Fermi-level density of states: 0.74 states/eV/atom
# - Uncorrected formation energy: 12.84 kcal/mol of atoms
# - VASP energy: -3.323 eV per atom
# - Size of the total moment: 0.000 μB per cell
data_GeBi3Te
_space_group_name_H-M_alt 'P m -3 m'
_space_group_IT_number 221
_space_group_name_Hall '-P 4 2 3'
_cell_length_a 5.5343
_cell_length_b 5.5343
_cell_length_c 5.5343
_cell_angle_alpha 90.00
_cell_angle_beta 90.00
_cell_angle_gamma 90.00
loop_
_atom_site_label
_atom_site_type_symbol
_atom_site_fract_x
_atom_site_fract_y
_atom_site_fract_z
_atom_site_occupancy
Ge1 Ge 0.0000 0.0000 0.0000 1
Bi1 Bi 0.0000 0.0000 0.5000 1
Te1 Te 0.5000 0.5000 0.5000 1

---

[6]
# SrPdAu4 GGA-PBE optimized geometry
# - Crystal system: orthorhombic
# - Fermi-level density of states: 0.28 states/eV/atom
# - Energy of formation from the pure elements: -0.329 eV/atom
# - VASP energy: -3.659 eV per atom
# - Size of the total moment: 0.000 μB per cell
data_SrPdAu4
_space_group_name_H-M_alt 'C m c m'
_space_group_IT_number 63
_space_group_name_Hall '-C 2c 2'
_cell_length_a 4.2679
_cell_length_b 16.5798
_cell_length_c 7.2327
_cell_angle_alpha 90.00
_cell_angle_beta 90.00
_cell_angle_gamma 90.00
loop_
_atom_site_label
_atom_site_type_symbol
_atom_site_fract_x
_atom_site_fract_y
_atom_site_fract_z
_atom_site_occupancy
Sr1 Sr 0.0000 0.1227 0.2500 1
Pd1 Pd 0.0000 0.2380 0.7500 1
Au1 Au 0.0000 0.0669 0.7500 1
Au2 Au 0.0000 0.3318 0.0571 1
Au3 Au 0.0000 0.5000 0.0000 1